! CeEuAl4 | Alexandria | PBE | optimized geometry; values from VASP
&SYSTEM
  ibrav = 0, nat = 6, ntyp = 3
/
ATOMIC_SPECIES
Al 26.98 Al.upf
Ce 140.12 Ce.upf
Eu 151.96 Eu.upf
ATOMIC_POSITIONS crystal
Al 0.624 0.624 0.127
Al 0.624 0.127 0.624
Al 0.624 0.624 0.624
Al 0.127 0.624 0.624
Ce 0.250 0.250 0.250
Eu 0.000 0.000 0.000
CELL_PARAMETERS angstrom
-2.131 -2.239 -4.734
1.371 -5.277 -1.498
-3.860 -4.120 0.309
! Formation enthalpy at 0 K = -9.7 kcal/mol of atoms


! AgSOF2 | Alexandria | PBE | optimized geometry; values from VASP
&SYSTEM
  ibrav = 0, nat = 5, ntyp = 4
/
ATOMIC_SPECIES
F 19.00 F.upf
O 16.00 O.upf
Ag 107.87 Ag.upf
S 32.06 S.upf
ATOMIC_POSITIONS crystal
F 0.000 0.500 0.000
F 0.500 0.000 0.000
O 0.000 0.000 0.500
Ag 0.500 0.500 0.500
S 0.000 0.000 0.000
CELL_PARAMETERS angstrom
4.506 0.000 0.000
0.000 4.506 0.000
0.000 0.000 3.451
! Distance to the lowest polymorph of the same formula = 0.000 eV per atom


! YSc2IrN | Alexandria | PBE | optimized geometry; values from VASP
&SYSTEM
  ibrav = 0, nat = 5, ntyp = 4
/
ATOMIC_SPECIES
Sc 44.96 Sc.upf
Y 88.91 Y.upf
N 14.01 N.upf
Ir 192.22 Ir.upf
ATOMIC_POSITIONS crystal
Sc 0.500 0.000 0.000
Sc 0.000 0.500 0.000
Y 0.000 0.000 0.500
N 0.000 0.000 0.000
Ir 0.500 0.500 0.500
CELL_PARAMETERS angstrom
4.280 0.000 0.000
0.000 4.280 0.000
0.000 0.000 4.862
! Raw total energy = -41.6 eV/cell


! CsSc3Be | Alexandria | PBE | optimized geometry; values from VASP
&SYSTEM
  ibrav = 0, nat = 5, ntyp = 3
/
ATOMIC_SPECIES
Sc 44.96 Sc.upf
Cs 132.91 Cs.upf
Be 9.01 Be.upf
ATOMIC_POSITIONS crystal
Sc 0.000 0.500 0.000
Sc 0.500 0.000 0.000
Sc 0.000 0.000 0.500
Cs 0.500 0.500 0.500
Be 0.000 0.000 0.000
CELL_PARAMETERS angstrom
-1.491 -2.382 4.336
-3.322 -2.873 -2.721
3.666 -3.573 -0.702
! Distance to the lowest polymorph of the same formula = 0.000 eV per atom
! Formation enthalpy at 0 K = 14.2 kcal/mol of atoms


! AcGe2Rh | Alexandria | PBE | optimized geometry; values from VASP
&SYSTEM
  ibrav = 0, nat = 4, ntyp = 3
/
ATOMIC_SPECIES
Ge 72.64 Ge.upf
Rh 102.91 Rh.upf
Ac 227.00 Ac.upf
ATOMIC_POSITIONS crystal
Ge 0.227 0.227 0.320
Ge 0.773 0.773 0.680
Rh 0.000 0.000 0.000
Ac 0.500 0.500 0.500
CELL_PARAMETERS angstrom
-3.169 4.160 0.234
-2.799 0.917 4.327
0.815 3.751 2.898
! Distance to the lowest polymorph of the same formula = 0.500 eV per atom
! Formation enthalpy at 0 K = -7.3 kcal/mol of atoms


! La2Pm2PrTm | Alexandria | PBE | optimized geometry; values from VASP
&SYSTEM
  ibrav = 0, nat = 12, ntyp = 4
/
ATOMIC_SPECIES
Pm 145.00 Pm.upf
Pr 140.91 Pr.upf
La 138.91 La.upf
Tm 168.93 Tm.upf
ATOMIC_POSITIONS crystal
Pm 0.000 0.257 0.835
Pm 0.500 0.258 0.332
Pm 0.500 0.758 0.668
Pm 0.000 0.757 0.165
Pr 0.500 0.258 0.658
Pr 0.500 0.758 0.342
La 0.500 0.007 0.000
La 0.000 0.257 0.178
La 0.500 0.507 0.000
La 0.000 0.757 0.822
Tm 0.000 0.508 0.500
Tm 0.000 0.008 0.500
CELL_PARAMETERS angstrom
-2.005 2.053 5.037
6.092 -1.944 3.217
3.958 8.964 -2.079
! Formation enthalpy at 0 K = 1.2 kcal/mol of atoms